{
  "formula": "ReAgRu2",
  "functional": "PBE",
  "state": "optimized geometry",
  "cell": [[4.417, 0.000, 0.000], [2.208, 3.825, 0.000], [2.208, 1.275, 3.606]],
  "species": ["Ru", "Ag", "Ru", "Re"],
  "frac_coords": [[0.250, 0.250, 0.250], [0.500, 0.500, 0.500], [0.000, 0.000, 0.000], [0.750, 0.750, 0.750]],
  "dft_energy_ev_per_atom": -7.66,
  "delta_e_f_ev_per_atom": 0.81
}

***

{
  "formula": "Re2AgRu",
  "functional": "PBE",
  "state": "optimized geometry",
  "cell": [[-6.598, 5.978, 3.149], [-8.255, 4.219, 1.802], [-7.496, 3.684, 4.408]],
  "species": ["Re", "Ru", "Ag", "Re"],
  "frac_coords": [[0.994, 0.994, 0.994], [0.506, 0.506, 0.506], [0.751, 0.751, 0.751], [0.249, 0.249, 0.249]],
  "dft_energy_ev_per_atom": -9.00,
  "delta_e_f_ev_per_atom": 0.26
}

***

{
  "formula": "ReAgRu2",
  "functional": "PBE",
  "state": "optimized geometry",
  "cell": [[-1.191, -6.978, 0.243], [1.205, -0.448, -6.965], [2.671, -4.150, -2.872]],
  "species": ["Ru", "Re", "Ag", "Ru", "Ag", "Re", "Ru", "Ru"],
  "frac_coords": [[0.875, 0.921, 0.750], [0.000, 0.000, 0.000], [0.250, 0.750, 0.500], [0.079, 0.625, 0.250], [0.500, 0.500, 0.000], [0.750, 0.250, 0.500], [0.671, 0.125, 0.250], [0.375, 0.329, 0.750]],
  "dft_energy_ev_per_atom": -7.69,
  "delta_e_f_ev_per_atom": 0.77
}

***

{
  "formula": "Re2AgRu",
  "functional": "PBE",
  "state": "optimized geometry",
  "cell": [[4.425, 0.000, 0.000], [2.213, 3.832, 0.000], [2.213, 1.277, 3.613]],
  "species": ["Ru", "Re", "Ag", "Re"],
  "frac_coords": [[0.250, 0.250, 0.250], [0.000, 0.000, 0.000], [0.500, 0.500, 0.500], [0.750, 0.750, 0.750]],
  "dft_energy_ev_per_atom": -8.64,
  "delta_e_f_ev_per_atom": 0.62
}

***

{
  "formula": "Re2AgRu",
  "functional": "PBE",
  "state": "optimized geometry",
  "cell": [[-7.882, -3.946, 3.294], [-7.335, -5.755, 1.273], [-6.148, -6.053, 3.755]],
  "species": ["Ag", "Ru", "Re", "Re"],
  "frac_coords": [[0.750, 0.750, 0.750], [0.250, 0.250, 0.250], [0.506, 0.506, 0.506], [0.994, 0.994, 0.994]],
  "dft_energy_ev_per_atom": -8.93,
  "delta_e_f_ev_per_atom": 0.32
}

***

{
  "formula": "Re2AgRu",
  "functional": "PBE",
  "state": "optimized geometry",
  "cell": [[2.760, 0.000, 0.000], [0.000, 2.760, 0.000], [0.000, 0.000, 8.091]],
  "species": ["Re", "Ag", "Ru", "Re"],
  "frac_coords": [[0.500, 0.500, 0.259], [0.500, 0.500, 0.747], [0.000, 0.000, 0.479], [0.000, 0.000, 0.015]],
  "dft_energy_ev_per_atom": -8.90,
  "delta_e_f_ev_per_atom": 0.35
}

***

{
  "formula": "Re2AgRu",
  "functional": "PBE",
  "state": "optimized geometry",
  "cell": [[7.311, 0.000, 0.000], [0.000, 7.311, 0.000], [3.656, 3.656, 2.612]],
  "species": ["Ag", "Re", "Ru", "Ag", "Re", "Ru", "Re", "Re"],
  "frac_coords": [[0.750, 0.250, 0.500], [0.375, 0.428, 0.750], [0.500, 0.500, 0.000], [0.000, 0.000, 0.000], [0.875, 0.822, 0.750], [0.250, 0.750, 0.500], [0.178, 0.625, 0.250], [0.572, 0.125, 0.250]],
  "dft_energy_ev_per_atom": -8.19,
  "delta_e_f_ev_per_atom": 1.07
}

***

{
  "formula": "ReAgRu2",
  "functional": "PBE",
  "state": "optimized geometry",
  "cell": [[-1.009, 4.547, 0.505], [-2.488, 0.335, 3.955], [4.130, -2.075, -0.763]],
  "species": ["Ru", "Ru", "Ag", "Re"],
  "frac_coords": [[0.000, 0.000, 0.000], [0.500, 0.500, 0.000], [0.250, 0.750, 0.500], [0.750, 0.250, 0.500]],
  "dft_energy_ev_per_atom": -7.98,
  "delta_e_f_ev_per_atom": 0.48
}

***

{
  "formula": "ReAgRu2",
  "functional": "PBE",
  "state": "optimized geometry",
  "cell": [[4.754, -0.002, 0.000], [-1.461, 4.524, 0.000], [0.000, 0.000, 2.766]],
  "species": ["Ru", "Re", "Ru", "Ag"],
  "frac_coords": [[0.000, 0.000, 0.000], [0.000, 0.500, 0.500], [0.500, 0.500, 0.000], [0.500, 0.000, 0.500]],
  "dft_energy_ev_per_atom": -7.98,
  "delta_e_f_ev_per_atom": 0.48
}

***

{
  "formula": "ReAgRu2",
  "functional": "PBE",
  "state": "optimized geometry",
  "cell": [[2.772, 0.000, 0.000], [0.000, 2.772, 0.000], [0.000, 0.000, 7.932]],
  "species": ["Ag", "Re", "Ru", "Ru"],
  "frac_coords": [[0.500, 0.500, 0.250], [0.500, 0.500, 0.750], [0.000, 0.000, 0.521], [0.000, 0.000, 0.979]],
  "dft_energy_ev_per_atom": -8.18,
  "delta_e_f_ev_per_atom": 0.28
}

***

{
  "formula": "ReAgRu2",
  "functional": "PBE",
  "state": "optimized geometry",
  "cell": [[2.693, 0.010, 0.000], [-1.230, 2.395, 0.000], [0.000, 0.000, 9.537]],
  "species": ["Ru", "Re", "Ag", "Ru"],
  "frac_coords": [[0.500, 0.500, 0.236], [0.500, 0.500, 0.767], [0.000, 0.000, 0.498], [0.000, 0.000, 0.999]],
  "dft_energy_ev_per_atom": -7.94,
  "delta_e_f_ev_per_atom": 0.52
}

***

{
  "formula": "ReAgRu2",
  "functional": "PBE",
  "state": "optimized geometry",
  "cell": [[4.761, 0.000, -0.008], [3.969, 2.629, -0.008], [0.820, 0.247, 4.820]],
  "species": ["Ru", "Ru", "Ag", "Re"],
  "frac_coords": [[0.510, 0.510, 0.475], [0.990, 0.990, 0.025], [0.750, 0.750, 0.750], [0.250, 0.250, 0.250]],
  "dft_energy_ev_per_atom": -8.06,
  "delta_e_f_ev_per_atom": 0.40
}